(1)
# Y2BeRu2, relaxed, DFT PBE-GGA
data_Y2BeRu2
_chemical_formula_sum 'Y4 Be2 Ru4'
_symmetry_space_group_name_H-M 'P 4/m b m'
_symmetry_Int_Tables_number 127
_symmetry_space_group_name_Hall '-P 4 2ab'
_cell_length_a 6.599
_cell_length_b 6.599
_cell_length_c 4.317
_cell_angle_alpha 90.00
_cell_angle_beta 90.00
_cell_angle_gamma 90.00
loop_
_atom_site_label
_atom_site_type_symbol
_atom_site_fract_x
_atom_site_fract_y
_atom_site_fract_z
Y1 Y 0.174 0.326 0.000
Be1 Be 0.000 0.000 0.500
Ru1 Ru 0.145 0.645 0.500
# Magnetization: 0.00 μB/cell
# E_tot: -36.07 eV/f.u.
# ΔE_f: -0.87 eV/f.u.
# Energy above the lowest structure with this stoichiometry: 177 meV per atom

=====

(2)
# RbPbNO2, relaxed, DFT PBE-GGA
data_RbPbNO2
_chemical_formula_sum 'Rb1 Pb1 N1 O2'
_symmetry_space_group_name_H-M 'P 4/m m m'
_symmetry_Int_Tables_number 123
_symmetry_space_group_name_Hall '-P 4 2'
_cell_length_a 4.480
_cell_length_b 4.480
_cell_length_c 4.656
_cell_angle_alpha 90.00
_cell_angle_beta 90.00
_cell_angle_gamma 90.00
loop_
_atom_site_label
_atom_site_type_symbol
_atom_site_fract_x
_atom_site_fract_y
_atom_site_fract_z
Rb1 Rb 0.000 0.000 0.000
Pb1 Pb 0.500 0.500 0.500
N1 N 0.500 0.500 0.000
O1 O 0.000 0.500 0.500
# Magnetization: 2.19 μB/cell
# E_tot: -22.82 eV/f.u.
# Formation energy without anion corrections: 0.4 kcal/mol of atoms

=====

(3)
# Na2SmHoSe4, relaxed, DFT PBE-GGA
data_Na2SmHoSe4
_chemical_formula_sum 'Na2 Sm1 Ho1 Se4'
_symmetry_space_group_name_H-M 'P 1 2/m 1'
_symmetry_Int_Tables_number 10
_cell_length_a 7.241
_cell_length_b 4.181
_cell_length_c 7.413
_cell_angle_alpha 90.00
_cell_angle_beta 108.98
_cell_angle_gamma 90.00
loop_
_symmetry_equiv_pos_as_xyz
'x,y,z'
'-x,-y,-z'
'-x,y,-z'
'x,-y,z'
loop_
_atom_site_label
_atom_site_type_symbol
_atom_site_fract_x
_atom_site_fract_y
_atom_site_fract_z
Na1 Na 0.000 0.000 0.000
Na2 Na 0.500 0.500 0.000
Sm1 Sm 0.000 0.500 0.500
Ho1 Ho 0.500 0.000 0.500
Se1 Se 0.250 0.000 0.732
Se2 Se 0.262 0.500 0.270
# Magnetization: 0.00 μB/cell
# E_tot: -39.46 eV/f.u.
# Formation energy without anion corrections: -39.2 kcal/mol of atoms

=====

(4)
# Na3La, relaxed, DFT PBE-GGA
data_Na3La
_chemical_formula_sum 'Na12 La4'
_symmetry_space_group_name_H-M 'F m -3 m'
_symmetry_Int_Tables_number 225
_symmetry_space_group_name_Hall '-F 4 2 3'
_cell_length_a 8.316
_cell_length_b 8.316
_cell_length_c 8.316
_cell_angle_alpha 90.00
_cell_angle_beta 90.00
_cell_angle_gamma 90.00
loop_
_atom_site_label
_atom_site_type_symbol
_atom_site_fract_x
_atom_site_fract_y
_atom_site_fract_z
Na1 Na 0.000 0.000 0.000
Na2 Na 0.250 0.250 0.250
La1 La 0.000 0.000 0.500
# Magnetization: 2.02 μB/cell
# E_tot: -7.64 eV/f.u.
# ΔE_f: 1.24 eV/f.u.
# Energy above the lowest structure with this stoichiometry: 114 meV per atom